# NaGaC, relaxed, DFT GGA-PBE
# Volume, A^3/atom: 16.6
# Magnetization, μB per atom: 0.000
# VASP energy, eV/atom: -4.1919
# Formation energy from the elements, eV per formula unit: 1.0
data_NaGaC
_chemical_formula_sum 'Na2 Ga2 C2'
_space_group_name_H-M_alt 'P m m 2'
_space_group_IT_number 25
_space_group_name_Hall 'P 2 -2'
_cell_length_a 4.8057
_cell_length_b 6.1790
_cell_length_c 3.3600
_cell_angle_alpha 90.00
_cell_angle_beta 90.00
_cell_angle_gamma 90.00
loop_
_atom_site_label
_atom_site_type_symbol
_atom_site_fract_x
_atom_site_fract_y
_atom_site_fract_z
Na1 Na 0.0000 0.0000 0.0000
Na2 Na 0.0000 0.5000 0.4709
Ga1 Ga 0.5000 0.1989 0.5037
C1 C 0.5000 0.3867 0.0034

=====

# NaGaC, relaxed, DFT GGA-PBE
# Volume, A^3/atom: 21.4
# Magnetization, μB per atom: 0.000
# VASP energy, eV/atom: -4.2442
# Formation energy from the elements, eV per formula unit: 0.8
data_NaGaC
_chemical_formula_sum 'Na4 Ga4 C4'
_space_group_name_H-M_alt 'C 1 m 1'
_space_group_IT_number 8
_space_group_name_Hall 'C -2y'
_cell_length_a 7.6812
_cell_length_b 4.4985
_cell_length_c 8.2968
_cell_angle_alpha 90.00
_cell_angle_beta 116.51
_cell_angle_gamma 90.00
loop_
_atom_site_label
_atom_site_type_symbol
_atom_site_fract_x
_atom_site_fract_y
_atom_site_fract_z
Na1 Na 0.0000 0.0000 0.0000
Na2 Na 0.0715 0.5000 0.3878
Ga1 Ga 0.0440 0.5000 0.7483
Ga2 Ga 0.2115 0.0000 0.7446
C1 C 0.1883 0.0000 0.3304
C2 C 0.2945 0.0000 0.4989

=====

# Na3GaC, relaxed, DFT GGA-PBE
# Volume, A^3/atom: 24.1
# Magnetization, μB per atom: 0.040
# VASP energy, eV/atom: -2.3664
# Polymorph energy (0 for the lowest one), eV per atom: 0.000
# Formation energy from the elements, eV per formula unit: 4.4
data_Na3GaC
_chemical_formula_sum 'Na3 Ga1 C1'
_space_group_name_H-M_alt 'P m -3 m'
_space_group_IT_number 221
_space_group_name_Hall '-P 4 2 3'
_cell_length_a 4.9408
_cell_length_b 4.9408
_cell_length_c 4.9408
_cell_angle_alpha 90.00
_cell_angle_beta 90.00
_cell_angle_gamma 90.00
loop_
_atom_site_label
_atom_site_type_symbol
_atom_site_fract_x
_atom_site_fract_y
_atom_site_fract_z
Na1 Na 0.0000 0.0000 0.5000
Ga1 Ga 0.5000 0.5000 0.5000
C1 C 0.0000 0.0000 0.0000

=====

# NaGaC, relaxed, DFT GGA-PBE
# Volume, A^3/atom: 18.7
# Magnetization, μB per atom: 0.000
# VASP energy, eV/atom: -3.8200
# Formation energy from the elements, eV per formula unit: 2.1
data_NaGaC
_chemical_formula_sum 'Na4 Ga4 C4'
_space_group_name_H-M_alt 'C m c m'
_space_group_IT_number 63
_space_group_name_Hall '-C 2c 2'
_cell_length_a 5.4957
_cell_length_b 6.4371
_cell_length_c 6.3376
_cell_angle_alpha 90.00
_cell_angle_beta 90.00
_cell_angle_gamma 90.00
loop_
_atom_site_label
_atom_site_type_symbol
_atom_site_fract_x
_atom_site_fract_y
_atom_site_fract_z
Na1 Na 0.0000 0.0501 0.2500
Ga1 Ga 0.0000 0.5000 0.0000
C1 C 0.0000 0.3488 0.7500

=====

# NaGaC, relaxed, DFT GGA-PBE
# Volume, A^3/atom: 20.3
# Magnetization, μB per atom: 0.000
# VASP energy, eV/atom: -4.2120
# Formation energy from the elements, eV per formula unit: 0.9
data_NaGaC
_chemical_formula_sum 'Na2 Ga2 C2'
_space_group_name_H-M_alt 'P -1'
_space_group_IT_number 2
_space_group_name_Hall '-P 1'
_cell_length_a 4.3547
_cell_length_b 4.5678
_cell_length_c 6.5032
_cell_angle_alpha 87.01
_cell_angle_beta 70.52
_cell_angle_gamma 89.98
loop_
_atom_site_label
_atom_site_type_symbol
_atom_site_fract_x
_atom_site_fract_y
_atom_site_fract_z
Na1 Na 0.1691 0.2140 0.1610
Ga1 Ga 0.4347 0.2315 0.6318
C1 C 0.1509 0.5002 0.5000

=====

# NaGaC, relaxed, DFT GGA-PBE
# Volume, A^3/atom: 22.7
# Magnetization, μB per atom: 0.000
# VASP energy, eV/atom: -3.8345
# Formation energy from the elements, eV per formula unit: 2.1
data_NaGaC
_chemical_formula_sum 'Na4 Ga4 C4'
_space_group_name_H-M_alt 'P n m a'
_space_group_IT_number 62
_space_group_name_Hall '-P 2ac 2n'
_cell_length_a 8.8357
_cell_length_b 5.6978
_cell_length_c 5.4220
_cell_angle_alpha 90.00
_cell_angle_beta 90.00
_cell_angle_gamma 90.00
loop_
_atom_site_label
_atom_site_type_symbol
_atom_site_fract_x
_atom_site_fract_y
_atom_site_fract_z
Na1 Na 0.1528 0.2500 0.0209
Ga1 Ga 0.0000 0.0000 0.5000
C1 C 0.0763 0.7500 0.6842

=====

# NaGaC, relaxed, DFT GGA-PBE
# Volume, A^3/atom: 17.5
# Magnetization, μB per atom: 0.000
# VASP energy, eV/atom: -4.3776
# Formation energy from the elements, eV per formula unit: 0.4
data_NaGaC
_chemical_formula_sum 'Na6 Ga6 C6'
_space_group_name_H-M_alt 'R -3 m'
_space_group_IT_number 166
_space_group_name_Hall '-R 3 2"'
_cell_length_a 4.5284
_cell_length_b 4.5284
_cell_length_c 17.7263
_cell_angle_alpha 90.00
_cell_angle_beta 90.00
_cell_angle_gamma 120.00
loop_
_atom_site_label
_atom_site_type_symbol
_atom_site_fract_x
_atom_site_fract_y
_atom_site_fract_z
Na1 Na 0.0000 0.0000 0.1012
Ga1 Ga 0.0000 0.0000 0.3465
C1 C 0.0000 0.0000 0.4643

=====

# NaGaC, relaxed, DFT GGA-PBE
# Volume, A^3/atom: 16.9
# Magnetization, μB per atom: 0.000
# VASP energy, eV/atom: -3.9096
# Formation energy from the elements, eV per formula unit: 1.8
data_NaGaC
_chemical_formula_sum 'Na6 Ga6 C6'
_space_group_name_H-M_alt 'I m m 2'
_space_group_IT_number 44
_space_group_name_Hall 'I 2 -2'
_cell_length_a 3.5682
_cell_length_b 14.5464
_cell_length_c 5.8695
_cell_angle_alpha 90.00
_cell_angle_beta 90.00
_cell_angle_gamma 90.00
loop_
_atom_site_label
_atom_site_type_symbol
_atom_site_fract_x
_atom_site_fract_y
_atom_site_fract_z
Na1 Na 0.0000 0.0000 0.0000
Na2 Na 0.0000 0.3085 0.4937
Ga1 Ga 0.0000 0.0000 0.5043
Ga2 Ga 0.0000 0.3704 0.9678
C1 C 0.0000 0.1375 0.3212
C2 C 0.0000 0.5000 0.1739

=====

The lowest volume belongs to which entry? number 1